Entry 1:
Compound: TlNiPd2
Source: OQMD via LeMat-Bulk
Functional: PBE-GGA
Structure: optimized geometry

Cell lengths 4.4916, 4.4916, 4.4916 Å; angles 60.00, 60.00, 60.00 degrees
Closest atoms and distances in Å follow each position.
Fractional positions:
Pd (0.0000, 0.0000, 0.0000)  4 Ni 2.75, 4 Pd 2.75
Pd (0.7500, 0.7500, 0.7500)  4 Tl 2.75, 4 Pd 2.75
Tl (0.5000, 0.5000, 0.5000)  4 Ni 2.75, 4 Pd 2.75
Ni (0.2500, 0.2500, 0.2500)  4 Tl 2.75, 4 Pd 2.75

Total magnetic moment = 0.000 μB per atom
Symmetry = F-43m
Total DFT energy (no corrections) = -18.4 eV/f.u.

***

Entry 2:
Compound: TlNi2Pd
Source: OQMD via LeMat-Bulk
Functional: PBE-GGA
Structure: optimized geometry

Cell lengths 4.3854, 4.3854, 4.3854 Å; angles 60.00, 60.00, 60.00 degrees
Closest atoms and distances in Å follow each position.
Fractional positions:
Ni (0.7500, 0.7500, 0.7500)  4 Tl 2.69, 4 Ni 2.69
Ni (0.0000, 0.0000, 0.0000)  4 Pd 2.69, 4 Ni 2.69
Pd (0.2500, 0.2500, 0.2500)  4 Ni 2.69, 4 Tl 2.69
Tl (0.5000, 0.5000, 0.5000)  4 Pd 2.69, 4 Ni 2.69

Total magnetic moment = 0.001 μB per atom
Symmetry = F-43m
Total DFT energy (no corrections) = -18.1 eV/f.u.

***

Entry 3:
Compound: Tl2NiPd
Source: OQMD via LeMat-Bulk
Functional: PBE-GGA
Structure: optimized geometry

Cell lengths 4.8049, 4.8049, 4.8049 Å; angles 60.00, 60.00, 60.00 degrees
Closest atoms and distances in Å follow each position.
Fractional positions:
Tl (0.0000, 0.0000, 0.0000)  4 Ni 2.94, 4 Tl 2.94
Tl (0.7500, 0.7500, 0.7500)  4 Pd 2.94, 4 Tl 2.94
Pd (0.5000, 0.5000, 0.5000)  4 Ni 2.94, 4 Tl 2.94
Ni (0.2500, 0.2500, 0.2500)  4 Pd 2.94, 4 Tl 2.94

Total magnetic moment = 0.075 μB per atom
Symmetry = F-43m
Total DFT energy (no corrections) = -14.2 eV/f.u.

***

Entry 4:
Compound: TlNiPdW
Source: OQMD via LeMat-Bulk
Functional: PBE-GGA
Structure: optimized geometry

Cell lengths 4.4924, 4.4924, 4.4924 Å; angles 60.00, 60.00, 60.00 degrees
Closest atoms and distances in Å follow each position.
Fractional positions:
Ni (0.7500, 0.7500, 0.7500)  4 Tl 2.75, 4 W 2.75
Pd (0.2500, 0.2500, 0.2500)  4 W 2.75, 4 Tl 2.75
Tl (0.0000, 0.0000, 0.0000)  4 Ni 2.75, 4 Pd 2.75
W (0.5000, 0.5000, 0.5000)  4 Pd 2.75, 4 Ni 2.75

Total magnetic moment = 0.001 μB per atom
Symmetry = F-43m
Total DFT energy (no corrections) = -24.0 eV/f.u.

***

Q: Which value of total magnetic moment does entry 3 give?
A: 0.075 μB per atom